Entry 1:
# PaBe2Rh4 PBE optimized geometry
data_PaBe2Rh4
_cell_length_a 13.3011
_cell_length_b 5.7589
_cell_length_c 5.8656
_cell_angle_alpha 90.00
_cell_angle_beta 116.09
_cell_angle_gamma 90.00
_space_group_name_H-M_alt 'C 1 m 1'
_space_group_IT_number 8
loop_
_space_group_symop_operation_xyz
'x,y,z'
'x,-y,z'
'x+1/2,y+1/2,z'
'x+1/2,-y+1/2,z'
loop_
_atom_site_label
_atom_site_type_symbol
_atom_site_fract_x
_atom_site_fract_y
_atom_site_fract_z
_atom_site_occupancy
Pa1 Pa 0.0000 0.0000 0.0000 1
Pa2 Pa 0.2455 0.0000 0.7459 1
Be1 Be 0.0774 0.5000 0.2963 1
Be2 Be 0.1677 0.5000 0.8877 1
Be3 Be 0.3729 0.2498 0.5086 1
Rh1 Rh 0.0602 0.2412 0.5723 1
Rh2 Rh 0.1856 0.2412 0.1991 1
Rh3 Rh 0.2711 0.5000 0.6528 1
Rh4 Rh 0.3639 0.5000 0.1848 1
Rh5 Rh 0.3814 0.0000 0.2022 1
Rh6 Rh 0.4744 0.0000 0.8555 1
# Density of states at the Fermi level in states/eV/cell: 10.8
# Total magnetic moment in μB per atom: 0.000
# VASP energy in eV/f.u.: -50.6
# Calculated formation energy in eV per atom: -0.61

***

Entry 2:
# PaBeRh2 PBE optimized geometry
data_PaBeRh2
_cell_length_a 3.8748
_cell_length_b 3.8748
_cell_length_c 15.1005
_cell_angle_alpha 90.00
_cell_angle_beta 90.00
_cell_angle_gamma 120.00
_space_group_name_H-M_alt 'R -3 m'
_space_group_IT_number 166
_space_group_name_Hall '-R 3 2"'
loop_
_atom_site_label
_atom_site_type_symbol
_atom_site_fract_x
_atom_site_fract_y
_atom_site_fract_z
_atom_site_occupancy
Pa1 Pa 0.0000 0.0000 0.0000 1
Be1 Be 0.0000 0.0000 0.5000 1
Rh1 Rh 0.0000 0.0000 0.2232 1
# Density of states at the Fermi level in states/eV/cell: 6.1
# Total magnetic moment in μB per atom: 0.000
# VASP energy in eV/f.u.: -30.7
# Calculated formation energy in eV per atom: -0.69
# E above lowest polymorph in meV/atom: 0

***

Entry 3:
# PaBeRh PBE optimized geometry
data_PaBeRh
_cell_length_a 6.5722
_cell_length_b 6.5722
_cell_length_c 4.1038
_cell_angle_alpha 90.00
_cell_angle_beta 90.00
_cell_angle_gamma 120.00
_space_group_name_H-M_alt 'P -6 2 m'
_space_group_IT_number 189
_space_group_name_Hall 'P -6 -2'
loop_
_atom_site_label
_atom_site_type_symbol
_atom_site_fract_x
_atom_site_fract_y
_atom_site_fract_z
_atom_site_occupancy
Pa1 Pa 0.0000 0.5772 0.0000 1
Be1 Be 0.0000 0.2080 0.5000 1
Rh1 Rh 0.0000 0.0000 0.0000 1
Rh2 Rh 0.3333 0.6667 0.5000 1
# Density of states at the Fermi level in states/eV/cell: 9.5
# Total magnetic moment in μB per atom: 0.000
# VASP energy in eV/f.u.: -22.0
# Calculated formation energy in eV per atom: -0.49
# E above lowest polymorph in meV/atom: 30

***

Entry 4:
# PaBeRh2 PBE optimized geometry
data_PaBeRh2
_cell_length_a 2.9794
_cell_length_b 2.9794
_cell_length_c 6.8345
_cell_angle_alpha 90.00
_cell_angle_beta 90.00
_cell_angle_gamma 90.00
_space_group_name_H-M_alt 'P 4/m m m'
_space_group_IT_number 123
_space_group_name_Hall '-P 4 2'
loop_
_atom_site_label
_atom_site_type_symbol
_atom_site_fract_x
_atom_site_fract_y
_atom_site_fract_z
_atom_site_occupancy
Pa1 Pa 0.0000 0.0000 0.0000 1
Be1 Be 0.0000 0.0000 0.5000 1
Rh1 Rh 0.5000 0.5000 0.3037 1
# Density of states at the Fermi level in states/eV/cell: 3.5
# Total magnetic moment in μB per atom: 0.000
# VASP energy in eV/f.u.: -30.1
# Calculated formation energy in eV per atom: -0.55
# E above lowest polymorph in meV/atom: 135